Below is a relaxed HfTcPd2 crystal, with properties calculated at the PBE level.

abc: 4.516 4.516 4.516
angles: 60.00 60.00 60.00
Last column: magnetic moment on the atom in μB.
Sites, in units of the cell vectors:
Tc 0.000 0.000 0.000  1.46
Pd 0.250 0.250 0.250  0.42
Pd 0.500 0.500 0.500  0.12
Hf 0.750 0.750 0.750  0.12

Output
As for the space-group type: No. 216. For the size of the total moment, the calculation gives 0.562 μB per atom. As for the formation enthalpy at 0 K: -214 meV per atom. The electronic total energy is -31.524 eV per formula unit.



Below is a relaxed ZrGaNiHg crystal, with properties calculated at the PBE level.

abc: 4.625 4.625 4.625
angles: 60.00 60.00 60.00
Sites, in units of the cell vectors:
Ni 0.750 0.750 0.750
Hg 0.250 0.250 0.250
Ga 0.000 0.000 0.000
Zr 0.500 0.500 0.500

Output
As for the space-group type: No. 216. For the size of the total moment, the calculation gives 0.001 μB per atom. The electronic total energy is -17.897 eV per formula unit.



Below is a relaxed ZrFeGeIr crystal, with properties calculated at the PBE level.

abc: 4.423 4.423 4.423
angles: 60.00 60.00 60.00
Sites, in units of the cell vectors:
Zr 0.500 0.500 0.500
Fe 0.750 0.750 0.750
Ge 0.000 0.000 0.000
Ir 0.250 0.250 0.250

Output
As for the space-group type: No. 216. As for the energy above the most stable polymorph in this dataset: 0.0 meV/atom. For the size of the total moment, the calculation gives 0.253 μB per atom. The electronic total energy is -31.908 eV per formula unit.



Below is a relaxed Tb2Tm2O5 crystal, with properties calculated at the PBE level.

abc: 9.370 3.882 3.882
angles: 90.00 90.00 90.00
Last column: magnetic moment on the atom in μB.
Sites, in units of the cell vectors:
Tm 0.500 0.000 0.000  0.57
Tm 0.000 0.000 0.000  0.01
Tb 0.242 0.500 0.500  0.06
Tb 0.758 0.500 0.500  0.06
O 0.141 0.000 0.500  0.02
O 0.141 0.500 0.000  0.01
O 0.859 0.000 0.500  0.02
O 0.500 0.500 0.500  0.04
O 0.859 0.500 0.000  0.01

Output
As for the space-group type: No. 123. As for the energy above the most stable polymorph in this dataset: 77.1 meV/atom. For the size of the total moment, the calculation gives 0.130 μB per atom. The electronic total energy is -68.713 eV per formula unit.



Below is a relaxed Hf9Re4S crystal, with properties calculated at the PBE level.

abc: 8.575 8.575 8.514
angles: 90.00 90.00 120.00
Sites, in units of the cell vectors:
Re 0.220 0.110 0.750
Re 0.000 0.000 0.500
Re 0.110 0.220 0.250
Re 0.780 0.890 0.250
Re 0.890 0.780 0.750
Re 0.890 0.110 0.750
Re 0.110 0.890 0.250
Re 0.000 0.000 0.000
Hf 0.805 0.611 0.053
Hf 0.805 0.195 0.053
Hf 0.389 0.195 0.447
Hf 0.805 0.195 0.447
Hf 0.456 0.544 0.250
Hf 0.805 0.611 0.447
Hf 0.911 0.456 0.750
Hf 0.611 0.805 0.947
Hf 0.089 0.544 0.250
Hf 0.544 0.089 0.750
Hf 0.389 0.195 0.053
Hf 0.611 0.805 0.553
Hf 0.195 0.389 0.947
Hf 0.195 0.805 0.553
Hf 0.195 0.389 0.553
Hf 0.544 0.456 0.750
Hf 0.195 0.805 0.947
Hf 0.456 0.911 0.250
S 0.333 0.667 0.750
S 0.667 0.333 0.250

Output
As for the space-group type: No. 194. For the size of the total moment, the calculation gives 0.001 μB per atom. The electronic total energy is -149.481 eV per formula unit.



Below is a relaxed LuBeSn crystal, with properties calculated at the PBE level.

abc: 4.405 4.405 4.405
angles: 60.00 60.00 60.00
Sites, in units of the cell vectors:
Lu 0.250 0.250 0.250
Be 0.000 0.000 0.000
Sn 0.750 0.750 0.750

Output
As for the space-group type: No. 216. For the size of the total moment, the calculation gives 0.000 μB per atom. The electronic total energy is -12.923 eV per formula unit.



Below is a relaxed Li2Sc2Al2PdPt crystal, with properties calculated at the PBE level.

abc: 4.491 4.491 6.351
angles: 90.00 90.00 90.00
Sites, in units of the cell vectors:
Al 0.000 0.500 0.251
Al 0.500 0.000 0.749
Pt 0.500 0.500 0.500
Sc 0.000 0.500 0.749
Sc 0.500 0.000 0.251
Pd 0.000 0.000 0.000
Li 0.500 0.500 0.000
Li 0.000 0.000 0.500

Output
As for the space-group type: No. 115. For the size of the total moment, the calculation gives 0.001 μB per atom. The electronic total energy is -41.345 eV per formula unit.



Below is a relaxed Rb5TaO5 crystal, with properties calculated at the PBE level.

abc: 6.854 6.854 11.390
angles: 98.88 98.88 116.08
Sites, in units of the cell vectors:
Rb 0.251 0.517 0.952
Rb 0.022 0.235 0.594
Rb 0.574 0.426 0.750
Rb 0.235 0.022 0.094
Rb 0.765 0.978 0.906
Rb 0.483 0.749 0.548
Rb 0.749 0.483 0.048
Rb 0.978 0.765 0.406
Rb 0.426 0.574 0.250
Rb 0.517 0.251 0.452
Ta 0.155 0.845 0.750
Ta 0.845 0.155 0.250
O 0.679 0.321 0.250
O 0.289 0.134 0.868
O 0.299 0.999 0.625
O 0.321 0.679 0.750
O 0.701 0.001 0.375
O 0.866 0.711 0.632
O 0.711 0.866 0.132
O 0.134 0.289 0.368
O 0.999 0.299 0.125
O 0.001 0.701 0.875

Output
As for the space-group type: No. 15. For the size of the total moment, the calculation gives 0.000 μB per atom. The electronic total energy is -61.867 eV per formula unit.



Below is a relaxed LuNbSb crystal, with properties calculated at the PBE level.

abc: 4.744 4.744 4.744
angles: 60.00 60.00 60.00
Sites, in units of the cell vectors:
Sb 0.000 0.000 0.000
Lu 0.250 0.250 0.250
Nb 0.750 0.750 0.750

Output
As for the space-group type: No. 216. For the size of the total moment, the calculation gives 0.025 μB per atom. The electronic total energy is -18.711 eV per formula unit.



Below is a relaxed Nb4Tl2CN crystal, with properties calculated at the PBE level.

abc: 3.252 3.252 14.297
angles: 90.00 90.00 120.00
Sites, in units of the cell vectors:
Tl 0.667 0.333 0.252
Tl 0.333 0.667 0.748
N 0.000 0.000 0.500
Nb 0.333 0.667 0.422
Nb 0.333 0.667 0.081
Nb 0.667 0.333 0.919
Nb 0.667 0.333 0.578
C 0.000 0.000 0.000

Output
As for the space-group type: No. 164. For the size of the total moment, the calculation gives 0.000 μB per atom. The electronic total energy is -65.355 eV per formula unit.



Below is a relaxed TaCd2B crystal, with properties calculated at the PBE level.

abc: 4.566 4.566 4.566
angles: 60.00 60.00 60.00
Last column: magnetic moment on the atom in μB.
Sites, in units of the cell vectors:
B 0.500 0.500 0.500  0.02
Ta 0.250 0.250 0.250  0.25
Cd 0.000 0.000 0.000  0.01
Cd 0.750 0.750 0.750  0.00

Output
As for the space-group type: No. 216. For the size of the total moment, the calculation gives 0.099 μB per atom. The electronic total energy is -15.883 eV per formula unit.



Below is a relaxed YNb2Bi crystal, with properties calculated at the PBE level.

abc: 4.989 4.989 4.989
angles: 60.00 60.00 60.00
Last column: magnetic moment on the atom in μB.
Sites, in units of the cell vectors:
Nb 0.750 0.750 0.750  0.06
Nb 0.000 0.000 0.000  -0.02
Bi 0.500 0.500 0.500  0.00
Y 0.250 0.250 0.250  -0.01

Output
As for the space-group type: No. 216. For the size of the total moment, the calculation gives 0.013 μB per atom. The electronic total energy is -30.077 eV per formula unit.